Computed, not measured: an optimized crystal structure of TaCrSi2 at the PBE-GGA level of DFT.

Cell lengths 3.851, 3.851, 7.555 Å; angles 90.00, 90.00, 90.00 degrees
Space group I4/mmm (No. 139)
Inequivalent atoms, fractional coordinates:
Ta: 0.000 0.000 0.000 (multiplicity 2)
Cr: 0.000 0.000 0.500 (multiplicity 2)
Si: 0.000 0.500 0.250 (multiplicity 4)

Summary:
ΔE_f (raw)   -0.023 eV per atom